Compound: Fe2CuHg
Source: Alexandria via LeMat-Bulk
Functional: PBE
Structure: relaxed

Output
- space group = R3m
- formation energy (meV per atom) = 352
- distance to the lowest polymorph of the same formula (meV/atom) = 90.1

```
Fe2CuHg
1.0
8.482 0.010 0.006
7.992 2.842 0.006
7.992 1.384 2.483
Cu Fe Hg
1 2 1
Direct
0.259 0.259 0.259
0.003 0.003 0.003
0.739 0.739 0.739
0.500 0.500 0.500
```

---

Compound: PaZn4Ga
Source: Alexandria via LeMat-Bulk
Functional: PBE
Structure: relaxed

Output
- space group = Pmma
- formation energy (meV per atom) = 5
- distance to the lowest polymorph of the same formula (meV/atom) = 75.1

```
PaZn4Ga
1.0
4.366 0.000 0.000
0.000 7.545 0.000
0.000 0.000 6.681
Pa Zn Ga
2 8 2
Direct
0.000 0.638 0.750
0.000 0.362 0.250
0.000 0.000 0.500
0.000 0.000 0.000
0.500 0.920 0.750
0.500 0.080 0.250
0.500 0.667 0.054
0.500 0.333 0.946
0.500 0.667 0.446
0.500 0.333 0.554
0.000 0.251 0.750
0.000 0.749 0.250
```

---

Compound: K3ScCo
Source: Alexandria via LeMat-Bulk
Functional: PBE
Structure: relaxed

Output
- space group = Pm-3m
- formation energy (meV per atom) = 1147

```
K3ScCo
1.0
6.267 0.000 0.000
0.000 6.267 0.000
0.000 0.000 6.267
Sc K Co
1 3 1
Direct
0.500 0.500 0.500
0.000 0.500 0.000
0.000 0.000 0.500
0.500 0.000 0.000
0.000 0.000 0.000
```

---

Compound: ScGeRhC2
Source: Alexandria via LeMat-Bulk
Functional: PBE
Structure: relaxed

Output
- space group = P4/mmm
- formation energy (meV per atom) = 1375

```
ScGeRhC2
1.0
3.965 0.000 0.000
0.000 4.716 0.000
0.000 0.000 3.965
Sc Ge Rh C
1 1 1 2
Direct
0.500 0.500 0.500
0.000 0.000 0.000
0.000 0.500 0.000
0.000 0.000 0.500
0.500 0.000 0.000
```

---

Compound: Sr3Re
Source: Alexandria via LeMat-Bulk
Functional: PBE
Structure: relaxed

Output
- space group = Pm-3m
- formation energy (meV per atom) = 1007
- distance to the lowest polymorph of the same formula (meV/atom) = 261.8

```
Sr3Re
1.0
-1.278 3.682 3.255
-3.732 1.461 -3.118
-3.198 -3.177 2.338
Re Sr
1 3
Direct
0.000 0.000 0.000
0.000 0.500 0.500
0.500 0.000 0.500
0.500 0.500 0.000
```

---

Compound: Na2ScH
Source: Alexandria via LeMat-Bulk
Functional: PBE
Structure: relaxed

Output
- space group = I-42d
- distance to the lowest polymorph of the same formula (meV/atom) = 0.0

```
Na2ScH
1.0
-3.388 5.584 -1.192
-2.811 -2.838 -5.304
-6.562 -0.161 -0.592
Sc Na H
2 4 2
Direct
0.000 0.000 0.000
0.750 0.250 0.500
0.420 0.125 0.250
0.330 0.625 0.250
0.375 0.580 0.750
0.875 0.670 0.750
0.500 0.500 0.000
0.250 0.750 0.500
```